# MnTe2Os

A relaxed MnTe2Os crystal (GGA-PBE, the Alexandria database).

a = 10.0584 Å, b = 10.0584 Å, c = 10.0584 Å
α = 18.66°, β = 18.66°, γ = 18.66°
With the nearest neighbours (Å) after each atom.
Element x y z (fractional)
Mn 0.0000 0.0000 0.0000  3 Os 2.66, 3 Te 2.73
Te 0.2665 0.2665 0.2665  3 Mn 2.73
Te 0.4622 0.4622 0.4622  3 Os 2.70
Os 0.7301 0.7301 0.7301  3 Mn 2.66, 3 Te 2.70

Results
Volume ... 91 Å³/f.u.
Uncorrected formation energy ... 384 meV/atom
SG ... R3m
Total magnetization ... 3.62 μB per formula unit
Relative energy among the computed polymorphs ... 304 meV/atom
Uncorrected energy ... -6.2862 eV/atom
Fermi-level density of states ... 3.5 states/eV/cell